Entry from the Alexandria database: a geometry-optimized BiSe structure (GGA-PBE).

```
data_BiSe
_chemical_formula_sum 'Bi4 Se4'
_space_group_name_H-M_alt 'P 1 21/c 1'
_space_group_IT_number 14
_space_group_name_Hall '-P 2ybc'
_cell_length_a 5.0827
_cell_length_b 9.1623
_cell_length_c 6.3079
_cell_angle_alpha 90.00
_cell_angle_beta 120.13
_cell_angle_gamma 90.00
loop_
_atom_site_label
_atom_site_fract_x
_atom_site_fract_y
_atom_site_fract_z
Bi1 0.0967 0.1017 0.3475
Se1 0.3220 0.6370 0.6908
```

* formation energy from raw total energies: -217 meV per atom
* energy above the lowest structure with this stoichiometry: 106 meV/atom

***

Entry from the Alexandria database: a geometry-optimized Hg2P structure (GGA-PBE).

```
data_Hg2P
_chemical_formula_sum 'Hg6 P3'
_space_group_name_H-M_alt 'P -6 2 m'
_space_group_IT_number 189
_space_group_name_Hall 'P -6 -2'
_cell_length_a 7.5172
_cell_length_b 7.5172
_cell_length_c 4.1105
_cell_angle_alpha 90.00
_cell_angle_beta 90.00
_cell_angle_gamma 120.00
loop_
_atom_site_label
_atom_site_fract_x
_atom_site_fract_y
_atom_site_fract_z
Hg1 0.0000 0.2587 0.0000
Hg2 0.0000 0.5761 0.5000
P1 0.0000 0.0000 0.5000
P2 0.3333 0.6667 0.0000
```

* ΔH_f (0 K): 0.4180 eV per atom
* energy above the lowest structure with this stoichiometry: 330 meV/atom

***

Entry from the Alexandria database: a geometry-optimized LiAl2As structure (GGA-PBE).

```
data_LiAl2As
_chemical_formula_sum 'Li1 Al2 As1'
_space_group_name_H-M_alt 'P 1 m 1'
_space_group_IT_number 6
_space_group_name_Hall 'P -2y'
_cell_length_a 2.9511
_cell_length_b 4.0563
_cell_length_c 5.9219
_cell_angle_alpha 90.00
_cell_angle_beta 104.33
_cell_angle_gamma 90.00
loop_
_atom_site_label
_atom_site_fract_x
_atom_site_fract_y
_atom_site_fract_z
Li1 0.0000 0.0000 0.0000
Al1 0.2596 0.0000 0.5228
Al2 0.6481 0.5000 0.2962
As1 0.4227 0.5000 0.8423
```

* ΔH_f (0 K): -0.1741 eV per atom

***

Entry from the Alexandria database: a geometry-optimized PrZn2Cu structure (GGA-PBE).

```
data_PrZn2Cu
_chemical_formula_sum 'Pr1 Zn2 Cu1'
_space_group_name_H-M_alt 'P 4/m m m'
_space_group_IT_number 123
_space_group_name_Hall '-P 4 2'
_cell_length_a 3.2267
_cell_length_b 3.2267
_cell_length_c 7.2084
_cell_angle_alpha 90.00
_cell_angle_beta 90.00
_cell_angle_gamma 90.00
loop_
_atom_site_label
_atom_site_fract_x
_atom_site_fract_y
_atom_site_fract_z
Pr1 0.0000 0.0000 0.0000
Zn1 0.5000 0.5000 0.3154
Cu1 0.0000 0.0000 0.5000
```

* ΔH_f (0 K): -0.1025 eV per atom

***

Entry from the Alexandria database: a geometry-optimized AcGdInPd structure (GGA-PBE).

```
data_AcGdInPd
_chemical_formula_sum 'Ac4 Gd4 In4 Pd4'
_space_group_name_H-M_alt 'F -4 3 m'
_space_group_IT_number 216
_space_group_name_Hall 'F -4 2 3'
_cell_length_a 7.6709
_cell_length_b 7.6709
_cell_length_c 7.6709
_cell_angle_alpha 90.00
_cell_angle_beta 90.00
_cell_angle_gamma 90.00
loop_
_atom_site_label
_atom_site_fract_x
_atom_site_fract_y
_atom_site_fract_z
Ac1 0.0000 0.0000 0.0000
Gd1 0.0000 0.0000 0.5000
In1 0.2500 0.2500 0.2500
Pd1 0.2500 0.2500 0.7500
```

* ΔH_f (0 K): -0.4975 eV per atom

***

Entry from the Alexandria database: a geometry-optimized Ni3GeS structure (GGA-PBE).

```
data_Ni3GeS
_chemical_formula_sum 'Ni3 Ge1 S1'
_space_group_name_H-M_alt 'P m -3 m'
_space_group_IT_number 221
_space_group_name_Hall '-P 4 2 3'
_cell_length_a 4.3480
_cell_length_b 4.3480
_cell_length_c 4.3480
_cell_angle_alpha 90.00
_cell_angle_beta 90.00
_cell_angle_gamma 90.00
loop_
_atom_site_label
_atom_site_fract_x
_atom_site_fract_y
_atom_site_fract_z
Ni1 0.0000 0.0000 0.5000
Ge1 0.0000 0.0000 0.0000
S1 0.5000 0.5000 0.5000
```

* formation energy from raw total energies: 748 meV per atom
* energy above the lowest structure with this stoichiometry: 1062 meV/atom

***

Entry from the Alexandria database: a geometry-optimized HoZnInPd structure (GGA-PBE).

```
data_HoZnInPd
_chemical_formula_sum 'Ho4 Zn4 In4 Pd4'
_space_group_name_H-M_alt 'F -4 3 m'
_space_group_IT_number 216
_space_group_name_Hall 'F -4 2 3'
_cell_length_a 6.7907
_cell_length_b 6.7907
_cell_length_c 6.7907
_cell_angle_alpha 90.00
_cell_angle_beta 90.00
_cell_angle_gamma 90.00
loop_
_atom_site_label
_atom_site_fract_x
_atom_site_fract_y
_atom_site_fract_z
Ho1 0.0000 0.0000 0.0000
Zn1 0.2500 0.2500 0.7500
In1 0.0000 0.0000 0.5000
Pd1 0.2500 0.2500 0.2500
```

* ΔH_f (0 K): -0.5927 eV per atom

***

Entry from the Alexandria database: a geometry-optimized Hf2Hg2Rh structure (GGA-PBE).

```
data_Hf2Hg2Rh
_chemical_formula_sum 'Hf4 Hg4 Rh2'
_space_group_name_H-M_alt 'P 4/m b m'
_space_group_IT_number 127
_space_group_name_Hall '-P 4 2ab'
_cell_length_a 7.2464
_cell_length_b 7.2464
_cell_length_c 3.8589
_cell_angle_alpha 90.00
_cell_angle_beta 90.00
_cell_angle_gamma 90.00
loop_
_atom_site_label
_atom_site_fract_x
_atom_site_fract_y
_atom_site_fract_z
Hf1 0.1703 0.3297 0.0000
Hg1 0.1366 0.6366 0.5000
Rh1 0.0000 0.0000 0.5000
```

* ΔH_f (0 K): 0.0123 eV per atom

***

Entry from the Alexandria database: a geometry-optimized AlZn2Cu structure (GGA-PBE).

```
data_AlZn2Cu
_chemical_formula_sum 'Al2 Zn4 Cu2'
_space_group_name_H-M_alt 'C 1 m 1'
_space_group_IT_number 8
_space_group_name_Hall 'C -2y'
_cell_length_a 8.7375
_cell_length_b 2.8296
_cell_length_c 4.7318
_cell_angle_alpha 90.00
_cell_angle_beta 100.45
_cell_angle_gamma 90.00
loop_
_atom_site_label
_atom_site_fract_x
_atom_site_fract_y
_atom_site_fract_z
Al1 0.0000 0.0000 0.0000
Zn1 0.0092 0.5000 0.5161
Zn2 0.2543 0.5000 0.2693
Cu1 0.2569 0.0000 0.7728
```

* ΔH_f (0 K): -0.0339 eV per atom

***

Entry from the Alexandria database: a geometry-optimized CsNaWBr6 structure (GGA-PBE).

```
data_CsNaWBr6
_chemical_formula_sum 'Cs2 Na2 W2 Br12'
_space_group_name_H-M_alt 'P -3 1 c'
_space_group_IT_number 163
_space_group_name_Hall '-P 3 2c'
_cell_length_a 7.3836
_cell_length_b 7.3836
_cell_length_c 15.6877
_cell_angle_alpha 90.00
_cell_angle_beta 90.00
_cell_angle_gamma 120.00
loop_
_atom_site_label
_atom_site_fract_x
_atom_site_fract_y
_atom_site_fract_z
Cs1 0.0000 0.0000 0.0000
Na1 0.3333 0.6667 0.2500
W1 0.3333 0.6667 0.7500
Br1 0.0444 0.3921 0.6551
```

* formation energy from raw total energies: -970 meV per atom

***

Entry from the Alexandria database: a geometry-optimized CrAu4 structure (GGA-PBE).

```
data_CrAu4
_chemical_formula_sum 'Cr2 Au8'
_space_group_name_H-M_alt 'I 4/m m m'
_space_group_IT_number 139
_space_group_name_Hall '-I 4 2'
_cell_length_a 3.8222
_cell_length_b 3.8222
_cell_length_c 13.8439
_cell_angle_alpha 90.00
_cell_angle_beta 90.00
_cell_angle_gamma 90.00
loop_
_atom_site_label
_atom_site_fract_x
_atom_site_fract_y
_atom_site_fract_z
Cr1 0.0000 0.0000 0.0000
Au1 0.0000 0.0000 0.4046
Au2 0.0000 0.5000 0.2500
```

* ΔH_f (0 K): 0.2652 eV per atom

***

Entry from the Alexandria database: a geometry-optimized TeSI2 structure (GGA-PBE).

```
data_TeSI2
_chemical_formula_sum 'Te2 S2 I4'
_space_group_name_H-M_alt 'P 1 21/m 1'
_space_group_IT_number 11
_space_group_name_Hall '-P 2yb'
_cell_length_a 3.5229
_cell_length_b 13.7154
_cell_length_c 7.1718
_cell_angle_alpha 90.00
_cell_angle_beta 104.21
_cell_angle_gamma 90.00
loop_
_atom_site_label
_atom_site_fract_x
_atom_site_fract_y
_atom_site_fract_z
Te1 0.2362 0.2500 0.4737
S1 0.1393 0.7500 0.2776
I1 0.3880 0.5923 0.7752
```

* formation energy from raw total energies: 131 meV per atom
* energy above the lowest structure with this stoichiometry: 94 meV/atom